This record from Alexandria describes a relaxed Pb3IF crystal. The functional is GGA-PBE.

Unit cell a=6.065 b=6.065 c=6.065 alpha=90.00 beta=90.00 gamma=90.00
Positions (direct):
Pb  0.500  0.000  0.000
Pb  0.000  0.500  0.000
Pb  0.000  0.000  0.500
F  0.500  0.500  0.500
I  0.000  0.000  0.000

- Density of states at the Fermi level: 0.9851 states/eV/atom
- V: 44.625 Å³/atom
- Space-group type: Pm-3m (221)
- Energy above the most stable polymorph in this dataset: 0.704 eV per atom



This record from Alexandria describes a relaxed PbIF3 crystal. The functional is GGA-PBE.

Unit cell a=4.831 b=4.831 c=4.831 alpha=90.00 beta=90.00 gamma=90.00
Positions (direct):
Pb  0.500  0.500  0.500
F  0.500  0.000  0.000
F  0.000  0.500  0.000
F  0.000  0.000  0.500
I  0.000  0.000  0.000

- Density of states at the Fermi level: 0.3463 states/eV/atom
- V: 22.556 Å³/atom
- Space-group type: Pm-3m (221)
- Energy above the most stable polymorph in this dataset: 0.720 eV per atom



This record from Alexandria describes a relaxed PbI2F crystal. The functional is GGA-PBE.

Unit cell a=5.937 b=5.937 c=9.666 alpha=72.12 beta=72.12 gamma=90.00
Each line ends with the local moment (μB).
Positions (direct):
Pb  0.000  0.000  0.000  0.00
Pb  0.750  0.250  0.500  0.00
I  0.164  0.625  0.250  0.23
I  0.875  0.836  0.750  0.19
I  0.375  0.414  0.750  0.20
I  0.586  0.125  0.250  0.24
F  0.250  0.750  0.500  0.33
F  0.500  0.500  0.000  0.33

- Density of states at the Fermi level: 0.4771 states/eV/atom
- V: 38.362 Å³/atom
- Space-group type: I-42d (122)
- Energy above the most stable polymorph in this dataset: 0.083 eV per atom



This record from Alexandria describes a relaxed PbIF3 crystal. The functional is GGA-PBE.

Unit cell a=5.425 b=6.978 c=6.386 alpha=90.00 beta=89.98 gamma=89.99
Positions (direct):
I  0.363  0.274  0.701
I  0.862  0.079  0.201
Pb  0.182  0.637  0.701
Pb  0.682  0.715  0.201
F  0.922  0.567  0.967
F  0.922  0.567  0.434
F  0.422  0.786  0.467
F  0.491  0.466  0.201
F  0.422  0.785  0.934
F  0.990  0.887  0.701

- V: 24.172 Å³/atom
- Space-group type: Pmn2_1 (31)
- Energy above the most stable polymorph in this dataset: 0.000 eV per atom



This record from Alexandria describes a relaxed Pb3IF crystal. The functional is GGA-PBE.

Unit cell a=5.345 b=5.345 c=5.345 alpha=90.00 beta=90.00 gamma=90.00
Positions (direct):
F  0.000  0.000  0.000
Pb  0.500  0.000  0.000
Pb  0.000  0.000  0.500
Pb  0.000  0.500  0.000
I  0.500  0.500  0.500

- Density of states at the Fermi level: 1.3541 states/eV/atom
- V: 30.548 Å³/atom
- Space-group type: Pm-3m (221)
- Energy above the most stable polymorph in this dataset: 0.000 eV per atom



This record from Alexandria describes a relaxed Pb4IF7 crystal. The functional is GGA-PBE.

Unit cell a=13.068 b=13.068 c=6.074 alpha=90.00 beta=90.00 gamma=152.62
Positions (direct):
F  0.439  0.561  0.750
F  0.352  0.110  0.517
F  0.226  0.226  0.000
F  0.561  0.439  0.250
F  0.890  0.648  0.517
F  0.774  0.774  0.000
F  0.110  0.352  0.483
F  0.774  0.774  0.500
F  0.648  0.890  0.017
F  0.110  0.352  0.017
F  0.226  0.226  0.500
F  0.352  0.110  0.983
F  0.648  0.890  0.483
F  0.890  0.648  0.983
I  0.251  0.749  0.250
I  0.749  0.251  0.750
Pb  0.059  0.941  0.250
Pb  0.348  0.652  0.750
Pb  0.174  0.826  0.750
Pb  0.546  0.454  0.750
Pb  0.454  0.546  0.250
Pb  0.941  0.059  0.750
Pb  0.826  0.174  0.250
Pb  0.652  0.348  0.250

- Density of states at the Fermi level: 0.0000 states/eV/atom
- V: 19.876 Å³/atom
- Space-group type: Cmcm (63)



This record from Alexandria describes a relaxed Pb2IF crystal. The functional is GGA-PBE.

Unit cell a=5.762 b=5.762 c=9.413 alpha=72.18 beta=72.18 gamma=90.00
Positions (direct):
I  0.750  0.250  0.500
I  0.000  0.000  0.000
F  0.250  0.750  0.500
F  0.500  0.500  0.000
Pb  0.375  0.516  0.750
Pb  0.484  0.125  0.250
Pb  0.266  0.625  0.250
Pb  0.875  0.734  0.750

- Density of states at the Fermi level: 0.3534 states/eV/atom
- V: 35.217 Å³/atom
- Space-group type: I-42d (122)
- Energy above the most stable polymorph in this dataset: 0.000 eV per atom



This record from Alexandria describes a relaxed PbIF3 crystal. The functional is GGA-PBE.

Unit cell a=4.734 b=4.734 c=4.734 alpha=90.00 beta=90.00 gamma=90.00
Each line ends with the local moment (μB).
Positions (direct):
F  0.500  0.000  0.000  0.12
F  0.000  0.500  0.000  0.07
F  0.000  0.000  0.500  0.07
Pb  0.000  0.000  0.000  0.02
I  0.500  0.500  0.500  0.82

- Density of states at the Fermi level: 1.3938 states/eV/atom
- V: 21.222 Å³/atom
- Space-group type: Pm-3m (221)
- Energy above the most stable polymorph in this dataset: 0.149 eV per atom



This record from Alexandria describes a relaxed PbIF2 crystal. The functional is GGA-PBE.

Unit cell a=10.380 b=10.380 c=10.380 alpha=21.13 beta=21.13 gamma=21.13
Positions (direct):
Pb  0.500  0.500  0.500
I  0.000  0.000  0.000
F  0.870  0.870  0.870
F  0.130  0.130  0.130

- Density of states at the Fermi level: 0.5477 states/eV/atom
- V: 31.811 Å³/atom
- Space-group type: R-3m (166)
- Energy above the most stable polymorph in this dataset: 0.000 eV per atom



This record from Alexandria describes a relaxed PbIF2 crystal. The functional is GGA-PBE.

Unit cell a=6.977 b=6.977 c=7.585 alpha=62.62 beta=62.62 gamma=90.00
Each line ends with the local moment (μB).
Positions (direct):
F  0.826  0.125  0.250  0.01
F  0.924  0.625  0.250  0.01
F  0.375  0.174  0.750  0.01
F  0.875  0.076  0.750  0.01
I  0.500  0.500  0.000  0.53
I  0.250  0.750  0.500  0.54
Pb  0.750  0.250  0.500  0.01
Pb  0.000  0.000  0.000  0.01

- Density of states at the Fermi level: 1.5303 states/eV/atom
- V: 35.056 Å³/atom
- Space-group type: I-42d (122)
- Energy above the most stable polymorph in this dataset: 0.128 eV per atom



This record from Alexandria describes a relaxed RbPbI2F crystal. The functional is GGA-PBE.

Unit cell a=6.502 b=6.502 c=4.765 alpha=90.00 beta=90.00 gamma=90.00
Positions (direct):
I  0.000  0.500  0.000
I  0.500  0.000  0.000
Pb  0.000  0.000  0.000
F  0.000  0.000  0.500
Rb  0.500  0.500  0.500

- Density of states at the Fermi level: 0.0000 states/eV/atom
- V: 40.288 Å³/atom
- Space-group type: P4/mmm (123)



This record from Alexandria describes a relaxed Rb2PbI6F crystal. The functional is GGA-PBE.

Unit cell a=7.947 b=7.947 c=8.795 alpha=63.14 beta=63.14 gamma=90.00
Positions (direct):
I  0.735  0.735  0.000
I  0.265  0.735  0.000
I  0.735  0.265  0.000
I  0.769  0.769  0.463
I  0.265  0.265  0.000
I  0.231  0.231  0.537
F  0.500  0.500  0.000
Pb  0.000  0.000  0.000
Rb  0.250  0.750  0.500
Rb  0.750  0.250  0.500

- Density of states at the Fermi level: 0.6521 states/eV/atom
- V: 42.727 Å³/atom
- Space-group type: I4/mmm (139)



This record from Alexandria describes a relaxed Rb2PbIF6 crystal. The functional is GGA-PBE.

Unit cell a=6.601 b=6.601 c=7.305 alpha=63.14 beta=63.14 gamma=90.00
Each line ends with the local moment (μB).
Positions (direct):
F  0.791  0.791  0.418  0.00
F  0.747  0.747  0.000  0.05
F  0.253  0.747  0.000  0.06
F  0.747  0.253  0.000  0.06
F  0.253  0.253  0.000  0.05
F  0.209  0.209  0.582  0.00
Pb  0.000  0.000  0.000  0.02
Rb  0.750  0.250  0.500  0.00
Rb  0.250  0.750  0.500  0.00
I  0.500  0.500  0.000  0.51

- Density of states at the Fermi level: 0.1587 states/eV/atom
- V: 24.486 Å³/atom
- Space-group type: I4/mmm (139)



This record from Alexandria describes a relaxed Rb2PbI2F2 crystal. The functional is GGA-PBE.

Unit cell a=5.003 b=5.003 c=10.125 alpha=104.31 beta=104.31 gamma=90.00
Positions (direct):
I  0.829  0.829  0.657
I  0.171  0.171  0.343
Rb  0.619  0.619  0.237
Rb  0.381  0.381  0.763
F  0.000  0.500  0.000
F  0.500  0.000  0.000
Pb  0.000  0.000  0.000

- Density of states at the Fermi level: 0.0000 states/eV/atom
- V: 33.926 Å³/atom
- Space-group type: I4/mmm (139)



This record from Alexandria describes a relaxed Sb2PbIF crystal. The functional is GGA-PBE.

Unit cell a=4.770 b=4.770 c=6.403 alpha=90.00 beta=90.00 gamma=90.00
Positions (direct):
Sb  0.500  0.000  0.000
Sb  0.000  0.500  0.000
I  0.000  0.000  0.500
Pb  0.500  0.500  0.500
F  0.000  0.000  0.000

- Density of states at the Fermi level: 0.6916 states/eV/atom
- V: 29.129 Å³/atom
- Space-group type: P4/mmm (123)
- Energy above the most stable polymorph in this dataset: 0.000 eV per atom



This record from Alexandria describes a relaxed Sb2PbIF crystal. The functional is GGA-PBE.

Unit cell a=5.948 b=5.948 c=6.050 alpha=90.00 beta=90.00 gamma=90.00
Each line ends with the local moment (μB).
Positions (direct):
Sb  0.000  0.500  0.000  0.33
Sb  0.500  0.000  0.000  0.33
Pb  0.000  0.000  0.000  0.01
I  0.000  0.000  0.500  0.05
F  0.500  0.500  0.500  0.18

- Density of states at the Fermi level: 1.9572 states/eV/atom
- V: 42.807 Å³/atom
- Space-group type: P4/mmm (123)
- Energy above the most stable polymorph in this dataset: 0.720 eV per atom



This record from Alexandria describes a relaxed Tc2PbIF crystal. The functional is GGA-PBE.

Unit cell a=4.500 b=5.327 c=4.500 alpha=90.00 beta=90.00 gamma=90.00
Each line ends with the local moment (μB).
Positions (direct):
I  0.500  0.500  0.500  0.07
Tc  0.000  0.000  0.500  2.34
Tc  0.500  0.000  0.000  2.13
Pb  0.000  0.500  0.000  -0.08
F  0.000  0.000  0.000  0.01

- Density of states at the Fermi level: 1.0863 states/eV/atom
- V: 21.580 Å³/atom
- Space-group type: P4/mmm (123)



This record from Alexandria describes a relaxed Te2PbIF crystal. The functional is GGA-PBE.

Unit cell a=6.107 b=6.107 c=6.113 alpha=90.00 beta=90.00 gamma=90.00
Each line ends with the local moment (μB).
Positions (direct):
Te  0.000  0.500  0.000  0.74
Te  0.500  0.000  0.000  0.74
Pb  0.000  0.000  0.000  -0.01
I  0.000  0.000  0.500  0.18
F  0.500  0.500  0.500  0.40

- Density of states at the Fermi level: 1.7028 states/eV/atom
- V: 45.598 Å³/atom
- Space-group type: P4/mmm (123)
- Energy above the most stable polymorph in this dataset: 0.587 eV per atom



This record from Alexandria describes a relaxed TePbI2F crystal. The functional is GGA-PBE.

Unit cell a=6.212 b=6.212 c=4.353 alpha=90.00 beta=90.00 gamma=90.00
Each line ends with the local moment (μB).
Positions (direct):
F  0.000  0.000  0.000  0.02
Te  0.000  0.000  0.500  0.36
Pb  0.500  0.500  0.500  -0.01
I  0.000  0.500  0.000  0.08
I  0.500  0.000  0.000  0.08

- Density of states at the Fermi level: 0.7825 states/eV/atom
- V: 33.589 Å³/atom
- Space-group type: P4/mmm (123)



This record from Alexandria describes a relaxed Te2PbIF crystal. The functional is GGA-PBE.

Unit cell a=4.793 b=4.793 c=6.495 alpha=90.00 beta=90.00 gamma=90.00
Positions (direct):
F  0.000  0.000  0.000
Te  0.000  0.500  0.000
Te  0.500  0.000  0.000
Pb  0.500  0.500  0.500
I  0.000  0.000  0.500

- Density of states at the Fermi level: 0.5251 states/eV/atom
- V: 29.847 Å³/atom
- Space-group type: P4/mmm (123)
- Energy above the most stable polymorph in this dataset: 0.000 eV per atom



Number 1: formation energy from raw total energies 0.37 eV per atom, raw total energy -2.539 eV/atom. Number 2: formation energy from raw total energies -0.80 eV per atom, raw total energy -2.979 eV/atom. Number 3: formation energy from raw total energies -0.43 eV per atom, raw total energy -2.596 eV/atom. Number 4: formation energy from raw total energies -1.53 eV per atom, raw total energy -3.700 eV/atom. Number 5: formation energy from raw total energies -0.33 eV per atom, raw total energy -3.243 eV/atom. Number 6: formation energy from raw total energies -2.16 eV per atom, raw total energy -4.613 eV/atom. Number 7: formation energy from raw total energies -0.78 eV per atom, raw total energy -3.494 eV/atom. Number 8: formation energy from raw total energies -1.38 eV per atom, raw total energy -3.550 eV/atom. Number 9: formation energy from raw total energies -1.54 eV per atom, raw total energy -3.786 eV/atom. Number 10: formation energy from raw total energies -1.41 eV per atom, raw total energy -3.658 eV/atom. Number 11: formation energy from raw total energies -1.46 eV per atom, raw total energy -3.388 eV/atom. Number 12: formation energy from raw total energies -0.78 eV per atom, raw total energy -2.462 eV/atom. Number 13: formation energy from raw total energies -1.99 eV per atom, raw total energy -3.831 eV/atom. Number 14: formation energy from raw total energies -1.84 eV per atom, raw total energy -3.626 eV/atom. Number 15: formation energy from raw total energies -0.23 eV per atom, raw total energy -3.301 eV/atom. Number 16: formation energy from raw total energies 0.49 eV per atom, raw total energy -2.581 eV/atom. Number 17: formation energy from raw total energies 0.94 eV per atom, raw total energy -4.636 eV/atom. Number 18: formation energy from raw total energies 0.31 eV per atom, raw total energy -2.374 eV/atom. Number 19: formation energy from raw total energies -0.29 eV per atom, raw total energy -2.655 eV/atom. Number 20: formation energy from raw total energies -0.28 eV per atom, raw total energy -2.961 eV/atom.